DFT (PBE) results for a geometry-optimized MnFeAs structure.

a b c (Å): 6.3050 6.3050 3.3965
angles (deg): 90.00 90.00 120.00
Fractional coordinates of all 9 atoms:
Mn 0.0000 0.4033 0.0000
Mn 0.4033 0.0000 0.0000
Mn 0.5967 0.5967 0.0000
Fe 0.0000 0.7429 0.5000
Fe 0.2571 0.2571 0.5000
Fe 0.7429 0.0000 0.5000
As 0.0000 0.0000 0.0000
As 0.3333 0.6667 0.5000
As 0.6667 0.3333 0.5000

## Properties
SG: P-62m (189)
V in Å³ per atom: 12.992
Formation enthalpy at 0 K in eV per atom: -0.199